SiAg2Hg: relaxed, GGA-PBE.

Unit cell a=6.6695 b=6.6695 c=6.6695 alpha=90.00 beta=90.00 gamma=90.00
Element x y z (fractional)
1 Si 0.0000 0.0000 0.0000
2 Si 0.0000 0.5000 0.5000
3 Si 0.5000 0.0000 0.5000
4 Si 0.5000 0.5000 0.0000
5 Ag 0.0000 0.0000 0.5000
6 Ag 0.0000 0.5000 0.0000
7 Ag 0.2500 0.2500 0.7500
8 Ag 0.2500 0.7500 0.2500
9 Ag 0.5000 0.0000 0.0000
10 Ag 0.5000 0.5000 0.5000
11 Ag 0.7500 0.2500 0.2500
12 Ag 0.7500 0.7500 0.7500
13 Hg 0.2500 0.2500 0.2500
14 Hg 0.2500 0.7500 0.7500
15 Hg 0.7500 0.2500 0.7500
16 Hg 0.7500 0.7500 0.2500

Output
Theoretical density (g/cm3): 9.9
Electronic total energy (eV per cell): -39.9
SG: F-43m (216)